{
  "formula": "MgTi3ZnNiO9",
  "functional": "PBE+U",
  "state": "relaxed",
  "cell": [[-1.488, 2.912, -3.912], [-2.144, -4.567, 0.739], [-9.797, 5.916, 8.130]],
  "species": ["Ni", "Ti", "O", "Ti", "Ti", "O", "Ti", "O", "O", "O", "O", "O", "O", "O", "O", "O", "Ti", "O", "O", "O", "Ti", "Zn", "Ni", "O", "Mg", "O", "Zn", "O", "O", "Mg"],
  "fractional_positions": [[0.000, 0.000, 0.352], [0.667, 0.333, 0.476], [0.688, 0.038, 0.089], [0.000, 0.000, 0.146], [0.000, 0.000, 0.855], [0.983, 0.354, 0.580], [0.333, 0.667, 0.810], [0.298, 0.316, 0.753], [0.317, 0.021, 0.248], [0.684, 0.982, 0.753], [0.979, 0.297, 0.248], [0.018, 0.649, 0.421], [0.018, 0.702, 0.753], [0.312, 0.962, 0.912], [0.631, 0.982, 0.421], [0.703, 0.683, 0.248], [0.333, 0.667, 0.523], [0.962, 0.650, 0.089], [0.371, 0.017, 0.580], [0.351, 0.369, 0.421], [0.667, 0.333, 0.189], [0.333, 0.667, 0.026], [0.667, 0.333, 0.684], [0.646, 0.629, 0.580], [0.000, 0.000, 0.646], [0.038, 0.350, 0.912], [0.667, 0.333, 0.972], [0.650, 0.688, 0.912], [0.350, 0.312, 0.089], [0.333, 0.667, 0.314]],
  "total_energy_ry_per_atom": -0.5473,
  "space_group": "P3, No. 143"
}